[1]
Material: Ba3Tb2PaP6
Method: DFT, PBE
State: relaxed

## Properties
E_form, kJ/mol of formula units: -1383
Volume, Å³ per cell: 340
Theoretical density, Mg/m³: 5.6
E, eV per atom: -5.943

Unit cell a=7.347 b=7.347 c=7.685 alpha=99.18 beta=99.18 gamma=120.01
Fractional coordinates of all 12 atoms:
Pa 0.000 0.000 0.000
P 0.254 0.254 0.795
P 0.610 0.933 0.797
P 0.933 0.610 0.797
Tb 0.666 0.334 0.000
P 0.067 0.390 0.203
Tb 0.334 0.666 0.000
Ba 0.830 0.170 0.500
Ba 0.500 0.500 0.500
P 0.746 0.746 0.205
P 0.390 0.067 0.203
Ba 0.170 0.830 0.500

***

[2]
Material: Ba3Th2PaP6
Method: DFT, PBE
State: relaxed

## Properties
E_form, kJ/mol of formula units: -1484
Volume, Å³ per cell: 349
Theoretical density, Mg/m³: 6.1
E, eV per atom: -6.496

Unit cell a=7.408 b=7.408 c=7.750 alpha=99.18 beta=99.18 gamma=119.98
Fractional coordinates of all 12 atoms:
Ba 0.169 0.831 0.500
Ba 0.831 0.169 0.500
P 0.068 0.390 0.205
P 0.932 0.610 0.795
Th 0.666 0.334 0.000
Pa 0.000 0.000 0.000
P 0.253 0.253 0.794
P 0.390 0.068 0.205
P 0.747 0.747 0.206
P 0.610 0.932 0.795
Th 0.334 0.666 0.000
Ba 0.500 0.500 0.500